# 1
A plane-wave DFT calculation with PBE was carried out for a geometry-optimized Ba2PrCdTe5 structure.

a = 4.671 Å, b = 10.526 Å, c = 14.161 Å
α = 90.00°, β = 90.00°, γ = 102.82°
Element x y z (fractional)
Te 0.951 0.903 0.557
Te 0.359 0.717 0.008
Te 0.049 0.097 0.057
Te 0.692 0.385 0.859
Pr 0.206 0.412 0.016
Te 0.641 0.283 0.508
Ba 0.116 0.232 0.688
Te 0.504 0.008 0.265
Te 0.496 0.992 0.765
Ba 0.874 0.748 0.820
Cd 0.442 0.884 0.442
Ba 0.884 0.768 0.188
Te 0.294 0.587 0.669
Cd 0.558 0.116 0.942
Pr 0.794 0.588 0.516
Te 0.706 0.413 0.169
Te 0.308 0.615 0.359
Ba 0.126 0.252 0.320

Output
Formation energy from raw total energies = -1.247 eV per atom



# 2
A plane-wave DFT calculation with PBE was carried out for a geometry-optimized Pr3Sm2Cd2 structure.

a = 5.577 Å, b = 5.579 Å, c = 8.802 Å
α = 108.43°, β = 90.00°, γ = 119.99°
Element x y z (fractional)
Pr 0.342 0.684 0.525
Sm 0.074 0.149 0.723
Sm 0.926 0.851 0.277
Pr 0.500 0.000 0.000
Pr 0.658 0.316 0.475
Cd 0.790 0.579 0.868
Cd 0.210 0.421 0.132

Output
Raw total energy = -26.7 eV for the cell shown